[1]
Compound: LiLaGeS2
Source: Alexandria
Functional: GGA-PBE
Structure: optimized geometry Values from VASP.

The structure in Quantum ESPRESSO input format:
```
&SYSTEM
  ibrav = 0, nat = 5, ntyp = 4
/
ATOMIC_SPECIES
La 138.91 La.upf
S 32.06 S.upf
Li 6.94 Li.upf
Ge 72.64 Ge.upf
CELL_PARAMETERS angstrom
-3.6681 3.7808 -1.1221
-3.3139 -1.9301 4.3298
2.4558 3.3888 3.3902
ATOMIC_POSITIONS angstrom
La 0.0000 0.0000 0.0000
S -1.8341 1.8904 -0.5610
Li -1.6569 -0.9651 2.1649
S 1.2279 1.6944 1.6951
Ge -2.2631 2.6197 3.2990
```

Values from the calculation:
**Calculated volume**: 33.56 A^3/atom
**Total magnetization**: 0.00 μB per formula unit
**ΔE_f (raw)**: 0.05 eV per atom

***

[2]
Compound: GaAsAuC
Source: Alexandria
Functional: GGA-PBE
Structure: optimized geometry Values from VASP.

The structure in Quantum ESPRESSO input format:
```
&SYSTEM
  ibrav = 0, nat = 8, ntyp = 4
/
ATOMIC_SPECIES
C 12.01 C.upf
Au 196.97 Au.upf
As 74.92 As.upf
Ga 69.72 Ga.upf
CELL_PARAMETERS angstrom
3.4826 0.0000 0.0103
0.0000 4.2062 0.0000
-2.7841 0.0000 9.8052
ATOMIC_POSITIONS angstrom
C 0.3171 0.0000 8.8698
Au -0.0817 2.1031 8.6967
Au 1.3103 0.0000 3.7941
As 3.1668 0.0000 1.0449
Ga -1.5148 0.0000 7.6345
C 1.7091 2.1031 3.9671
As 1.7748 2.1031 5.9475
Ga -0.1227 2.1031 2.7319
```

Values from the calculation:
**Calculated volume**: 17.97 A^3/atom
**Energy relative to the lowest polymorph listed for this composition**: 342 meV per atom
**Total magnetization**: 0.00 μB per formula unit
**Formation energy from the elements**: 0.64 eV/atom

***

[3]
Compound: Nd3Zn2Pd4
Source: Alexandria
Functional: GGA-PBE
Structure: optimized geometry Values from VASP.

The structure in Quantum ESPRESSO input format:
```
&SYSTEM
  ibrav = 0, nat = 9, ntyp = 3
/
ATOMIC_SPECIES
Pd 106.42 Pd.upf
Nd 144.24 Nd.upf
Zn 65.41 Zn.upf
CELL_PARAMETERS angstrom
-1.9955 3.3847 -1.9008
-2.7366 -4.7746 -0.6179
-3.5958 2.2495 7.7806
ATOMIC_POSITIONS angstrom
Pd -5.3973 -0.0487 0.5682
Nd 0.0000 0.0000 0.0000
Pd -2.9305 0.9082 4.6937
Nd -5.0399 -0.9301 3.6347
Pd -2.9326 0.5507 -0.9521
Zn -3.1646 -1.4767 0.6927
Zn -5.1632 2.3363 4.5693
Nd -3.2879 1.7896 1.6272
Pd -5.3952 0.3089 6.2140
```

Values from the calculation:
**Calculated volume**: 21.70 A^3/atom
**Energy relative to the lowest polymorph listed for this composition**: 8 meV per atom
**Total magnetization**: 0.00 μB per formula unit
**Formation energy from the elements**: -0.71 eV/atom

***

Q: calculated volume of number 1 (LiLaGeS2)?
A: 33.56 A^3/atom